1.
Here is a relaxed PrHo7Mg2 crystal from Alexandria. Energies are from PBE-GGA.

Properties
- E_form: 57.2 kJ/mol of atoms
- Calculated density: 5.93 g/cm³
- Space-group type: No. 65

abc: 9.1418 9.1418 5.3684
angles: 90.00 90.00 122.95
Closest atoms and distances in Å follow each position.
Sites, in units of the cell vectors:
1 Pr 0.0000 0.0000 0.0000  10 Ho 3.47-3.62
2 Ho 0.0672 0.2965 0.5000  2 Mg 3.12-3.34, 2 Ho 3.18-3.33
3 Ho 0.2158 0.7842 0.0000  2 Mg 2.99
4 Ho 0.2965 0.0672 0.5000  2 Mg 3.12-3.34, 2 Ho 3.18-3.33
5 Ho 0.5000 0.5000 0.5000  2 Mg 3.25, 4 Ho 3.33
6 Ho 0.7035 0.9328 0.5000  2 Mg 3.12-3.34, 2 Ho 3.18-3.33
7 Ho 0.7842 0.2158 0.0000  2 Mg 2.99
8 Ho 0.9328 0.7035 0.5000  2 Mg 3.12-3.34, 2 Ho 3.18-3.33
9 Mg 0.2975 0.7025 0.5000  7 Ho 2.99-3.34
10 Mg 0.7025 0.2975 0.5000  7 Ho 2.99-3.34

---

2.
Here is a relaxed PrHoMg crystal from Alexandria. Energies are from PBE-GGA.

Properties
- E_form: -4.6 kJ/mol of atoms
- Calculated density: 6.04 g/cm³
- Space-group type: No. 63

abc: 6.9984 6.9984 5.3061
angles: 90.00 90.00 135.66
Closest atoms and distances in Å follow each position.
Sites, in units of the cell vectors:
1 Pr 0.0907 0.9093 0.7500  4 Mg 3.36, 2 Pr 3.55, 6 Ho 3.55-3.74
2 Pr 0.9093 0.0907 0.2500  4 Mg 3.36, 2 Pr 3.55, 6 Ho 3.55-3.74
3 Ho 0.4071 0.5929 0.7500  4 Mg 3.33-3.35, 2 Pr 3.55, 2 Ho 3.58
4 Ho 0.5929 0.4071 0.2500  4 Mg 3.33-3.35, 2 Pr 3.55, 2 Ho 3.58
5 Mg 0.2496 0.7504 0.2500  4 Ho 3.33-3.35, 4 Pr 3.36
6 Mg 0.7504 0.2496 0.7500  4 Ho 3.33-3.35, 4 Pr 3.36

---

3.
Here is a relaxed Pr3Ho4Mg4 crystal from Alexandria. Energies are from PBE-GGA.

Properties
- E_form: 9.2 kJ/mol of atoms
- Calculated density: 5.75 g/cm³
- Space-group type: No. 71

abc: 9.8453 9.8453 9.8453
angles: 147.55 137.92 54.12
Closest atoms and distances in Å follow each position.
Sites, in units of the cell vectors:
1 Pr 0.0000 0.0000 0.0000  6 Mg 3.06-3.41
2 Pr 0.3893 0.8893 0.5000  6 Ho 3.57-3.94, 6 Mg 3.69-3.71, 1 Pr 3.88
3 Pr 0.6107 0.1107 0.5000  6 Ho 3.57-3.94, 6 Mg 3.69-3.71, 1 Pr 3.88
4 Ho 0.0514 0.3143 0.7371  4 Mg 3.08-3.27, 1 Ho 3.35
5 Ho 0.4229 0.6857 0.7371  4 Mg 3.08-3.27, 1 Ho 3.35
6 Ho 0.5771 0.3143 0.2629  4 Mg 3.08-3.27, 1 Ho 3.35
7 Ho 0.9486 0.6857 0.2629  4 Mg 3.08-3.27, 1 Ho 3.35
8 Mg 0.1743 0.1743 0.0000  1 Pr 3.06, 6 Ho 3.08-3.23
9 Mg 0.2853 0.5000 0.7853  1 Mg 3.04, 2 Ho 3.27
10 Mg 0.7147 0.5000 0.2147  1 Mg 3.04, 2 Ho 3.27
11 Mg 0.8257 0.8257 0.0000  1 Pr 3.06, 6 Ho 3.08-3.23

---

4.
Here is a relaxed PrHoMg4 crystal from Alexandria. Energies are from PBE-GGA.

Properties
- E_form: -8.2 kJ/mol of atoms
- Calculated density: 4.20 g/cm³
- Space-group type: No. 216

abc: 6.0857 6.0857 6.0857
angles: 60.00 60.00 60.00
Closest atoms and distances in Å follow each position.
Sites, in units of the cell vectors:
1 Pr 0.0000 0.0000 0.0000  12 Mg 3.57, 4 Ho 3.73
2 Ho 0.2500 0.2500 0.2500  12 Mg 3.57, 4 Pr 3.73
3 Mg 0.1255 0.6248 0.6248  6 Mg 3.04-3.05
4 Mg 0.6248 0.1255 0.6248  6 Mg 3.04-3.05
5 Mg 0.6248 0.6248 0.1255  6 Mg 3.04-3.05
6 Mg 0.6248 0.6248 0.6248  6 Mg 3.04-3.05

---

5.
Here is a relaxed Pr5Ho2Mg crystal from Alexandria. Energies are from PBE-GGA.

Properties
- E_form: 0.7 kJ/mol of atoms
- Calculated density: 6.64 g/cm³
- Space-group type: No. 139

abc: 7.1872 7.1872 7.1872
angles: 119.38 119.38 91.08
Closest atoms and distances in Å follow each position.
Sites, in units of the cell vectors:
1 Pr 0.0000 0.0000 0.0000  8 Pr 3.59, 4 Ho 3.63
2 Pr 0.0000 0.0000 0.5000  2 Mg 3.59, 4 Ho 3.59, 6 Pr 3.59-3.63
3 Pr 0.0000 0.5000 0.0000  2 Mg 3.59, 4 Ho 3.59, 6 Pr 3.59-3.63
4 Pr 0.5000 0.0000 0.0000  2 Mg 3.59, 4 Ho 3.59, 6 Pr 3.59-3.63
5 Pr 0.5000 0.5000 0.5000  2 Mg 3.59, 4 Ho 3.59, 6 Pr 3.59-3.63
6 Ho 0.0000 0.5000 0.5000  10 Pr 3.59-3.63, 2 Mg 3.63
7 Ho 0.5000 0.0000 0.5000  10 Pr 3.59-3.63, 2 Mg 3.63
8 Mg 0.5000 0.5000 0.0000  8 Pr 3.59, 4 Ho 3.63

---

6.
Here is a relaxed PrHo2Mg crystal from Alexandria. Energies are from PBE-GGA.

Properties
- E_form: -2.7 kJ/mol of atoms
- Calculated density: 6.74 g/cm³
- Space-group type: No. 139

abc: 9.8961 9.8961 9.8961
angles: 149.85 149.85 43.16
Closest atoms and distances in Å follow each position.
Sites, in units of the cell vectors:
1 Pr 0.1301 0.1301 0.0000  4 Mg 3.39, 8 Ho 3.52-3.64
2 Pr 0.8699 0.8699 0.0000  4 Mg 3.39, 8 Ho 3.52-3.64
3 Ho 0.0000 0.5000 0.5000  4 Pr 3.52, 8 Ho 3.57-3.64
4 Ho 0.3653 0.3653 0.0000  4 Mg 3.34, 4 Ho 3.57, 4 Pr 3.64
5 Ho 0.5000 0.0000 0.5000  4 Pr 3.52, 8 Ho 3.57-3.64
6 Ho 0.6347 0.6347 0.0000  4 Mg 3.34, 4 Ho 3.57, 4 Pr 3.64
7 Mg 0.2500 0.7500 0.5000  4 Ho 3.34, 4 Pr 3.39, 4 Mg 3.64
8 Mg 0.7500 0.2500 0.5000  4 Ho 3.34, 4 Pr 3.39, 4 Mg 3.64

---

7.
Here is a relaxed PrHoMgPt crystal from Alexandria. Energies are from PBE-GGA.

Properties
- E_form: -50.9 kJ/mol of atoms
- Calculated density: 8.86 g/cm³
- Space-group type: No. 216

abc: 5.1818 5.1818 5.1818
angles: 60.00 60.00 60.00
Closest atoms and distances in Å follow each position.
Sites, in units of the cell vectors:
1 Pr 0.0000 0.0000 0.0000  4 Mg 3.17, 4 Pt 3.17
2 Ho 0.5000 0.5000 0.5000  4 Pt 3.17, 4 Mg 3.17
3 Mg 0.2500 0.2500 0.2500  4 Ho 3.17, 4 Pr 3.17
4 Pt 0.7500 0.7500 0.7500  4 Ho 3.17, 4 Pr 3.17

---

8.
Here is a relaxed Pr3Ho3MgS8 crystal from Alexandria. Energies are from PBE-GGA.

Properties
- Final energy: -0.45153 Ry/atom
- Calculated density: 5.62 g/cm³
- Space-group type: No. 166

abc: 8.0166 8.0166 8.0166
angles: 58.78 58.78 58.78
Closest atoms and distances in Å follow each position.
Sites, in units of the cell vectors:
1 Pr 0.0000 0.5000 0.5000  6 S 2.88-2.89
2 Pr 0.5000 0.0000 0.5000  6 S 2.88-2.89
3 Pr 0.5000 0.5000 0.0000  6 S 2.88-2.89
4 Ho 0.0000 0.0000 0.5000  6 S 2.73-2.74
5 Ho 0.0000 0.5000 0.0000  6 S 2.73-2.74
6 Ho 0.5000 0.0000 0.0000  6 S 2.73-2.74
7 Mg 0.5000 0.5000 0.5000  6 S 2.67
8 S 0.2435 0.2435 0.2435  3 Ho 2.73, 3 Pr 2.89
9 S 0.2497 0.7381 0.7381  1 Mg 2.67, 2 Ho 2.74, 2 Pr 2.88
10 S 0.2619 0.2619 0.7503  1 Mg 2.67, 2 Ho 2.74, 2 Pr 2.88
11 S 0.2619 0.7503 0.2619  1 Mg 2.67, 2 Ho 2.74, 2 Pr 2.88
12 S 0.7381 0.2497 0.7381  1 Mg 2.67, 2 Ho 2.74, 2 Pr 2.88
13 S 0.7381 0.7381 0.2497  1 Mg 2.67, 2 Ho 2.74, 2 Pr 2.88
14 S 0.7503 0.2619 0.2619  1 Mg 2.67, 2 Ho 2.74, 2 Pr 2.88
15 S 0.7565 0.7565 0.7565  3 Ho 2.73, 3 Pr 2.89

---

9.
Here is a relaxed PrSmHoMg crystal from Alexandria. Energies are from PBE-GGA.

Properties
- E_form: -2.9 kJ/mol of atoms
- Calculated density: 6.41 g/cm³
- Space-group type: No. 99

abc: 3.6905 3.6905 9.1368
angles: 90.00 90.00 90.00
Closest atoms and distances in Å follow each position.
Sites, in units of the cell vectors:
1 Pr 0.0000 0.0000 0.0000  4 Ho 3.59, 4 Sm 3.65, 4 Pr 3.69
2 Sm 0.5000 0.5000 0.7212  4 Mg 3.36, 4 Pr 3.65, 4 Sm 3.69
3 Ho 0.5000 0.5000 0.2706  4 Mg 3.29, 4 Pr 3.59
4 Mg 0.0000 0.0000 0.4900  4 Ho 3.29, 4 Sm 3.36

---

10.
Here is a relaxed Pr6SmHo2Mg crystal from Alexandria. Energies are from PBE-GGA.

Properties
- E_form: 10.0 kJ/mol of atoms
- Calculated density: 6.59 g/cm³
- Space-group type: No. 15

abc: 8.6873 8.6873 9.5216
angles: 96.09 96.09 105.83
Closest atoms and distances in Å follow each position.
Sites, in units of the cell vectors:
1 Pr 0.0400 0.4667 0.6721  1 Sm 3.29, 1 Mg 3.30, 3 Pr 3.42-3.59, 2 Ho 3.56-3.57
2 Pr 0.0610 0.8267 0.9036  2 Mg 3.26-3.41, 3 Pr 3.34-3.58, 2 Ho 3.55-3.56
3 Pr 0.1733 0.9390 0.5964  2 Mg 3.26-3.41, 3 Pr 3.34-3.58, 2 Ho 3.55-3.56
4 Pr 0.2430 0.5791 0.0757  4 Pr 3.44-3.82, 2 Ho 3.45-3.83, 2 Sm 3.66-3.69, 1 Mg 3.69
5 Pr 0.4209 0.7570 0.4243  4 Pr 3.44-3.82, 2 Ho 3.45-3.83, 2 Sm 3.66-3.69, 1 Mg 3.69
6 Pr 0.4667 0.0400 0.1721  1 Sm 3.29, 1 Mg 3.30, 3 Pr 3.42-3.59, 2 Ho 3.56-3.57
7 Pr 0.5333 0.9600 0.8279  1 Sm 3.29, 1 Mg 3.30, 3 Pr 3.42-3.59, 2 Ho 3.56-3.57
8 Pr 0.5791 0.2430 0.5757  4 Pr 3.44-3.82, 2 Ho 3.45-3.83, 2 Sm 3.66-3.69, 1 Mg 3.69
9 Pr 0.7570 0.4209 0.9243  4 Pr 3.44-3.82, 2 Ho 3.45-3.83, 2 Sm 3.66-3.69, 1 Mg 3.69
10 Pr 0.8267 0.0610 0.4036  2 Mg 3.26-3.41, 3 Pr 3.34-3.58, 2 Ho 3.55-3.56
11 Pr 0.9390 0.1733 0.0964  2 Mg 3.26-3.41, 3 Pr 3.34-3.58, 2 Ho 3.55-3.56
12 Pr 0.9600 0.5333 0.3279  1 Sm 3.29, 1 Mg 3.30, 3 Pr 3.42-3.59, 2 Ho 3.56-3.57
13 Sm 0.4361 0.5639 0.7500  6 Pr 3.29-3.69, 2 Ho 3.37
14 Sm 0.5639 0.4361 0.2500  6 Pr 3.29-3.69, 2 Ho 3.37
15 Ho 0.2320 0.3007 0.4062  2 Sm 3.37-3.75, 1 Mg 3.45, 6 Pr 3.45-3.73
16 Ho 0.3007 0.2320 0.9062  2 Sm 3.37-3.75, 1 Mg 3.45, 6 Pr 3.45-3.73
17 Ho 0.6993 0.7680 0.0938  2 Sm 3.37-3.75, 1 Mg 3.45, 6 Pr 3.45-3.73
18 Ho 0.7680 0.6993 0.5938  2 Sm 3.37-3.75, 1 Mg 3.45, 6 Pr 3.45-3.73
19 Mg 0.0973 0.9027 0.2500  6 Pr 3.26-3.41, 2 Ho 3.45
20 Mg 0.9027 0.0973 0.7500  6 Pr 3.26-3.41, 2 Ho 3.45

---

11.
Here is a relaxed Pr3Sm6Ho2Mg crystal from Alexandria. Energies are from PBE-GGA.

Properties
- E_form: 3.1 kJ/mol of atoms
- Calculated density: 7.01 g/cm³
- Space-group type: No. 12

abc: 6.2722 6.2722 11.8783
angles: 95.09 95.09 120.07
Closest atoms and distances in Å follow each position.
Sites, in units of the cell vectors:
1 Pr 0.0000 0.0000 0.0000  6 Pr 3.62, 6 Sm 3.65-3.66
2 Pr 0.3334 0.6666 0.0000  6 Pr 3.62, 6 Sm 3.65-3.67
3 Pr 0.6666 0.3334 0.0000  6 Pr 3.62, 6 Sm 3.65-3.67
4 Sm 0.0885 0.4203 0.2571  1 Mg 3.52, 2 Ho 3.53-3.54, 6 Sm 3.60-3.63, 3 Pr 3.66-3.67
5 Sm 0.2480 0.2480 0.7442  2 Ho 3.54, 1 Mg 3.54, 6 Sm 3.60-3.63, 3 Pr 3.65
6 Sm 0.4203 0.0885 0.2571  1 Mg 3.52, 2 Ho 3.53-3.54, 6 Sm 3.60-3.63, 3 Pr 3.66-3.67
7 Sm 0.5797 0.9115 0.7429  1 Mg 3.52, 2 Ho 3.53-3.54, 6 Sm 3.60-3.63, 3 Pr 3.66-3.67
8 Sm 0.7520 0.7520 0.2558  2 Ho 3.54, 1 Mg 3.54, 6 Sm 3.60-3.63, 3 Pr 3.65
9 Sm 0.9115 0.5797 0.7429  1 Mg 3.52, 2 Ho 3.53-3.54, 6 Sm 3.60-3.63, 3 Pr 3.66-3.67
10 Ho 0.1664 0.8336 0.5000  6 Sm 3.53-3.54, 3 Ho 3.62, 3 Mg 3.62-3.63
11 Ho 0.8336 0.1664 0.5000  6 Sm 3.53-3.54, 3 Ho 3.62, 3 Mg 3.62-3.63
12 Mg 0.5000 0.5000 0.5000  6 Sm 3.52-3.54, 6 Ho 3.62-3.63

---

12.
Here is a relaxed Pr2SmHo4Mg crystal from Alexandria. Energies are from PBE-GGA.

Properties
- E_form: 3.1 kJ/mol of atoms
- Calculated density: 7.28 g/cm³
- Space-group type: No. 47

abc: 4.9867 4.9988 10.2141
angles: 90.00 90.00 90.00
Closest atoms and distances in Å follow each position.
Sites, in units of the cell vectors:
1 Pr 0.0000 0.0000 0.0000  4 Mg 3.53, 8 Ho 3.55-3.56
2 Pr 0.5000 0.5000 0.5000  4 Sm 3.53, 8 Ho 3.58-3.59
3 Sm 0.0000 0.0000 0.5000  4 Pr 3.53, 8 Ho 3.58-3.59
4 Ho 0.0000 0.5000 0.2479  4 Ho 3.53, 2 Mg 3.55, 4 Pr 3.56-3.58, 2 Sm 3.59
5 Ho 0.0000 0.5000 0.7521  4 Ho 3.53, 2 Mg 3.55, 4 Pr 3.56-3.58, 2 Sm 3.59
6 Ho 0.5000 0.0000 0.2479  4 Ho 3.53, 4 Pr 3.55-3.59, 2 Mg 3.56, 2 Sm 3.58
7 Ho 0.5000 0.0000 0.7521  4 Ho 3.53, 4 Pr 3.55-3.59, 2 Mg 3.56, 2 Sm 3.58
8 Mg 0.5000 0.5000 0.0000  4 Pr 3.53, 8 Ho 3.55-3.56